# 1
An optimized crystal structure of AcY2Ho8, computed with PBE.

DFT total energy   -4.75 eV/atom

a = 5.491 Å, b = 10.321 Å, c = 10.321 Å
α = 39.65°, β = 93.00°, γ = 93.00°
Fractional positions:
Ho  0.239  0.547  0.547
Ho  0.761  0.453  0.453
Ho  0.271  0.596  0.133
Ho  0.271  0.133  0.596
Ho  0.729  0.867  0.404
Ho  0.729  0.404  0.867
Ho  0.766  0.810  0.810
Ho  0.234  0.190  0.190
Ac  0.000  0.000  0.000
Y  0.247  0.715  0.715
Y  0.753  0.285  0.285

# 2
An optimized crystal structure of Ho2GaNi, computed with PBE.

DFT total energy   -5.01 eV/atom

a = 4.304 Å, b = 5.869 Å, c = 7.557 Å
α = 115.37°, β = 90.00°, γ = 90.00°
Fractional positions:
Ga  0.750  0.674  0.294
Ga  0.250  0.326  0.706
Ni  0.250  0.379  0.210
Ni  0.750  0.621  0.790
Ho  0.250  0.760  0.589
Ho  0.750  0.202  0.930
Ho  0.250  0.798  0.070
Ho  0.750  0.240  0.411

# 3
An optimized crystal structure of CeReAs2, computed with PBE.

DFT total energy   -6.93 eV/atom

a = 3.097 Å, b = 3.097 Å, c = 9.876 Å
α = 80.98°, β = 80.98°, γ = 60.00°
Fractional positions:
Ce  0.000  0.000  0.000
Re  0.500  0.500  0.500
As  0.104  0.104  0.688
As  0.896  0.896  0.312

no.,total magnetic moment (μB per cell),DOS(E_F) (states/eV/f.u.)
1,0.00,18.46
2,0.00,2.65
3,0.10,5.08